No. 1
Entry from Alexandria: Be2TlGaRu after structural relaxation (PBE).

Cell: 4.127 4.127 5.402 Å, 90.00 90.00 90.00°
Fractional positions:
Be 0.000 0.500 0.000
Be 0.500 0.000 0.000
Tl 0.000 0.000 0.500
Ga 0.000 0.000 0.000
Ru 0.500 0.500 0.500

Values from the calculation:
raw total energy = -3.239 eV/atom

***

No. 2
Entry from Alexandria: Mg7Zn after structural relaxation (PBE).

Cell: 6.274 6.274 6.274 Å, 60.00 60.00 60.00°
Fractional positions:
Mg 0.000 0.000 0.000
Mg 0.000 0.000 0.500
Mg 0.000 0.500 0.000
Mg 0.000 0.500 0.500
Mg 0.500 0.000 0.000
Mg 0.500 0.000 0.500
Mg 0.500 0.500 0.000
Zn 0.500 0.500 0.500

Values from the calculation:
raw total energy = -1.546 eV/atom
energy above the most stable polymorph in this dataset = 13.3 meV per atom

***

no.,formation energy from the elements (eV per atom),M_tot (μB per cell),density of states at the Fermi level (states/eV/atom)
1,1.185,1.558,0.89
2,0.009,0.000,0.51